Density functional theory data (PBE) for a relaxed structure of DyTm6Sc2.

ΔE_f, meV per atom: 51
Space-group type: P-6m2
Total magnetic moment, μB per formula unit: 0.00

Cell lengths 3.4923, 3.4923, 25.0973 Å; angles 90.00, 90.00, 120.00 degrees
Closest atoms and distances in Å follow each position.
Fractional positions:
Dy 0.0000 0.0000 0.0000  6 Tm 3.48, 6 Dy 3.49
Tm 0.3333 0.6667 0.8872  9 Tm 3.46-3.49, 3 Dy 3.48
Tm 0.0000 0.0000 0.4330  3 Sc 3.29, 7 Tm 3.36-3.49
Tm 0.0000 0.0000 0.7753  3 Sc 3.31, 9 Tm 3.46-3.49
Tm 0.0000 0.0000 0.2247  3 Sc 3.31, 9 Tm 3.46-3.49
Tm 0.0000 0.0000 0.5670  3 Sc 3.29, 7 Tm 3.36-3.49
Tm 0.3333 0.6667 0.1128  9 Tm 3.46-3.49, 3 Dy 3.48
Sc 0.3333 0.6667 0.3294  6 Tm 3.29-3.31, 6 Sc 3.49
Sc 0.3333 0.6667 0.6706  6 Tm 3.29-3.31, 6 Sc 3.49